[1]
Density functional theory data (PBE) for an optimized crystal structure of Ba5Tl3I12.

Cell: 20.906 20.906 20.906 Å, 90.00 90.00 90.00°
Space group Ia-3d (No. 230)
One atom of each set of equivalent atoms:
Ba: 0.000 0.000 0.000
Ba: 0.000 0.250 0.375
Tl: 0.000 0.250 0.125
I: 0.026 0.072 0.648

## Properties
Formation energy from raw total energies: -124 kJ per mole of atoms
Calculated density: 4.103 g/cm3

[2]
Density functional theory data (PBE) for an optimized crystal structure of LaCr2Mo2.

Cell: 7.712 7.712 2.942 Å, 90.00 90.00 90.00°
Space group P4/mbm (No. 127)
One atom of each set of equivalent atoms:
La: 0.000 0.000 0.000
Cr: 0.135 0.365 0.500
Mo: 0.145 0.645 0.000

## Properties
Energy above the most stable polymorph in this dataset: 66 meV per atom
Calculated density: 8.253 g/cm3
Energy of formation from the pure elements: 500 meV per atom

[3]
Density functional theory data (PBE) for an optimized crystal structure of PdSe2F.

Cell: 6.261 6.261 6.261 Å, 90.00 90.00 90.00°
Space group Fm-3m (No. 225)
One atom of each set of equivalent atoms:
Pd: 0.000 0.000 0.000
Se: 0.250 0.250 0.250
F: 0.000 0.000 0.500

## Properties
Energy above the most stable polymorph in this dataset: 185 meV per atom
Formation energy from raw total energies: -35 kJ per mole of atoms
Calculated density: 7.670 g/cm3

[4]
Density functional theory data (PBE) for an optimized crystal structure of W3C2.

Cell: 5.1848 5.1848 15.3649 Å, 90.00 90.00 120.00°
Space group R-3c (No. 167, hexagonal axes)
One atom of each set of equivalent atoms:
W: 0.0000 0.3262 0.2500
C: 0.0000 0.0000 0.1610

## Properties
Energy above the most stable polymorph in this dataset: 0 meV per atom
Calculated density: 16.030 g/cm3
Energy of formation from the pure elements: 87 meV per atom

[5]
Density functional theory data (PBE) for an optimized crystal structure of LiIn12Bi3.

Cell: 4.939 4.939 18.287 Å, 90.00 90.00 90.00°
Space group P4/mmm (No. 123)
One atom of each set of equivalent atoms:
Li: 0.000 0.000 0.000
In: 0.000 0.500 0.112
In: 0.000 0.500 0.371
In: 0.500 0.500 0.000
In: 0.500 0.500 0.244
In: 0.500 0.500 0.500
Bi: 0.000 0.000 0.237
Bi: 0.000 0.000 0.500

## Properties
Calculated density: 7.490 g/cm3
Energy of formation from the pure elements: -10 meV per atom

[6]
Density functional theory data (PBE) for an optimized crystal structure of LiDyHgCl6.

Cell: 6.6944 6.6944 12.0825 Å, 90.00 90.00 120.00°
Space group P-31c (No. 163)
One atom of each set of equivalent atoms:
Li: 0.0000 0.0000 0.0000
Dy: 0.3333 0.6667 0.2500
Hg: 0.3333 0.6667 0.7500
Cl: 0.0074 0.3392 0.1247

## Properties
Formation energy from raw total energies: -151 kJ per mole of atoms
Calculated density: 4.127 g/cm3

[7]
Density functional theory data (PBE) for an optimized crystal structure of Ti12Ir5W3.

Cell: 14.798 14.798 14.798 Å, 90.00 90.00 90.00°
Space group Ia-3d (No. 230)
One atom of each set of equivalent atoms:
Ti: 0.020 0.076 0.649
Ir: 0.000 0.000 0.000
Ir: 0.000 0.250 0.375
W: 0.000 0.250 0.125

## Properties
Calculated density: 8.556 g/cm3
Energy of formation from the pure elements: 395 meV per atom

[8]
Density functional theory data (PBE) for an optimized crystal structure of Rb5Se.

Cell: 13.338 5.039 11.631 Å, 90.00 90.00 90.00°
Space group Pmma (No. 51)
One atom of each set of equivalent atoms:
Rb: 0.000 0.000 0.000
Rb: 0.100 0.500 0.297
Rb: 0.250 0.000 0.617
Rb: 0.250 0.500 0.973
Se: 0.250 0.000 0.169

## Properties
Energy above the most stable polymorph in this dataset: 0 meV per atom
Formation energy from raw total energies: -44 kJ per mole of atoms
Calculated density: 2.151 g/cm3

[9]
Density functional theory data (PBE) for an optimized crystal structure of Ac2TbPrDy.

Cell: 6.481 9.006 6.727 Å, 90.00 90.00 90.00°
Space group Pmma (No. 51)
One atom of each set of equivalent atoms:
Ac: 0.250 0.202 0.212
Tb: 0.250 0.000 0.683
Pr: 0.250 0.500 0.920
Dy: 0.000 0.500 0.500

## Properties
Calculated density: 7.750 g/cm3
Energy of formation from the pure elements: 268 meV per atom

[10]
Density functional theory data (PBE) for an optimized crystal structure of TlAgSe2.

Cell: 10.4862 10.4862 7.4307 Å, 90.00 90.00 120.00°
Space group P-31m (No. 162)
One atom of each set of equivalent atoms:
Tl: 0.0000 0.0000 0.2487
Tl: 0.3333 0.6667 0.2482
Ag: 0.0000 0.2905 0.2517
Se: 0.2012 0.4023 0.0000
Se: 0.2030 0.4059 0.5000

## Properties
Formation energy from raw total energies: 7 kJ per mole of atoms
Calculated density: 6.620 g/cm3

[11]
Density functional theory data (PBE) for an optimized crystal structure of PmNdTe4.

Cell: 7.306 7.306 16.065 Å, 90.00 90.00 90.00°
Space group I4_1/amd (No. 141, origin choice 2)
One atom of each set of equivalent atoms:
Pm: 0.000 0.250 0.375
Nd: 0.000 0.250 0.875
Te: 0.248 0.000 0.500

## Properties
Formation energy from raw total energies: -100 kJ per mole of atoms
Calculated density: 6.195 g/cm3

[12]
Density functional theory data (PBE) for an optimized crystal structure of Sr2TeBrF.

Cell: 15.952 4.551 9.302 Å, 90.00 97.21 90.00°
Space group C2/m (No. 12)
One atom of each set of equivalent atoms:
Sr: 0.153 0.000 0.434
Sr: 0.166 0.500 0.826
Te: 0.185 0.500 0.180
Br: 0.042 0.000 0.703
F: 0.188 0.500 0.558

## Properties
Formation energy from raw total energies: -236 kJ per mole of atoms
Calculated density: 3.982 g/cm3

[13]
Density functional theory data (PBE) for an optimized crystal structure of NaLiMgRh.

Cell: 6.525 6.525 6.525 Å, 90.00 90.00 90.00°
Space group F-43m (No. 216)
One atom of each set of equivalent atoms:
Na: 0.000 0.000 0.000
Li: 0.250 0.250 0.250
Mg: 0.250 0.250 0.750
Rh: 0.000 0.000 0.500

## Properties
Calculated density: 3.756 g/cm3
Energy of formation from the pure elements: -31 meV per atom

[14]
Density functional theory data (PBE) for an optimized crystal structure of La12Pr6Cd.

Cell: 13.6655 13.6655 12.9407 Å, 90.00 90.00 120.00°
Space group R-3 (No. 148, hexagonal axes)
One atom of each set of equivalent atoms:
La: 0.0003 0.2606 0.0002
La: 0.0579 0.5290 0.1108
Pr: 0.0893 0.1795 0.7729
Cd: 0.0000 0.0000 0.0000

## Properties
Calculated density: 6.248 g/cm3
Energy of formation from the pure elements: 86 meV per atom

[15]
Density functional theory data (PBE) for an optimized crystal structure of SmLuHf.

Cell: 3.3832 3.3832 8.3749 Å, 90.00 90.00 120.00°
Space group P3m1 (No. 156)
One atom of each set of equivalent atoms:
Sm: 0.0000 0.0000 0.0000
Lu: 0.3333 0.6667 0.6276
Hf: 0.6667 0.3333 0.3188

## Properties
Calculated density: 10.078 g/cm3
Energy of formation from the pure elements: 136 meV per atom

no.,total energy (eV per atom)
1,-3.051
2,-8.667
3,-3.870
4,-11.375
5,-2.911
6,-3.552
7,-8.500
8,-1.842
9,-4.178
10,-2.976
11,-4.718
12,-4.459
13,-3.076
14,-4.584
15,-6.262